Entry 1:
# KSrTmSe3

Crystalline KSrTmSe3 at its relaxed geometry (PBE-GGA, OQMD via LeMat-Bulk).

The structure in POSCAR format:
```
KSrTmSe3
1.0
7.498 0.000 0.000
0.000 4.206 0.000
-2.307 0.000 11.511
K Sr Tm Se
2 2 2 6
Direct
0.129 0.250 0.134
0.871 0.750 0.866
0.381 0.250 0.828
0.619 0.750 0.172
0.233 0.750 0.456
0.767 0.250 0.544
0.026 0.750 0.631
0.277 0.750 0.982
0.453 0.250 0.363
0.547 0.750 0.637
0.723 0.250 0.018
0.974 0.250 0.369
```

Computed properties:
Crystal system: monoclinic

=====

Entry 2:
# K3TaTeSe3

Crystalline K3TaTeSe3 at its relaxed geometry (PBE-GGA, OQMD via LeMat-Bulk).

The structure in POSCAR format:
```
K3TaTeSe3
1.0
5.569 3.215 2.622
-5.569 3.215 2.622
0.000 -6.430 2.622
K Ta Te Se
3 1 1 3
Direct
0.034 0.483 0.483
0.483 0.034 0.483
0.483 0.483 0.034
0.955 0.955 0.955
0.612 0.612 0.612
0.295 0.945 0.945
0.945 0.295 0.945
0.945 0.945 0.295
```

Computed properties:
Crystal system: trigonal

=====

Entry 3:
# K2TaTlSe4

Crystalline K2TaTlSe4 at its relaxed geometry (PBE-GGA, OQMD via LeMat-Bulk).

The structure in POSCAR format:
```
K2TaTlSe4
1.0
-4.067 4.067 4.015
4.067 -4.067 4.015
4.067 4.067 -4.015
K Ta Tl Se
2 1 1 4
Direct
0.000 0.500 0.500
0.500 0.000 0.500
0.000 0.000 0.000
0.500 0.500 0.000
0.012 0.350 0.000
0.350 0.012 0.000
0.650 0.650 0.662
0.988 0.988 0.338
```

Computed properties:
Crystal system: tetragonal

=====

Entry 4:
# KTaZnSe3

Crystalline KTaZnSe3 at its relaxed geometry (PBE-GGA, OQMD via LeMat-Bulk).

The structure in POSCAR format:
```
KTaZnSe3
1.0
1.892 -7.621 0.000
1.892 7.621 0.000
0.000 0.000 10.208
K Ta Zn Se
2 2 2 6
Direct
0.247 0.753 0.750
0.753 0.247 0.250
0.000 0.000 0.000
0.000 0.000 0.500
0.463 0.537 0.250
0.537 0.463 0.750
0.068 0.932 0.250
0.378 0.622 0.046
0.378 0.622 0.454
0.622 0.378 0.546
0.622 0.378 0.954
0.932 0.068 0.750
```

Computed properties:
Crystal system: orthorhombic

=====

Entry 5:
# KZrTaSe3

Crystalline KZrTaSe3 at its relaxed geometry (PBE-GGA, OQMD via LeMat-Bulk).

The structure in POSCAR format:
```
KZrTaSe3
1.0
8.754 0.000 0.000
0.000 3.785 0.000
-3.997 0.000 9.353
K Zr Ta Se
2 2 2 6
Direct
0.033 0.250 0.276
0.967 0.750 0.724
0.481 0.250 0.145
0.519 0.750 0.855
0.483 0.750 0.395
0.517 0.250 0.605
0.248 0.750 0.148
0.288 0.750 0.547
0.298 0.250 0.862
0.702 0.750 0.138
0.712 0.250 0.453
0.752 0.250 0.852
```

Computed properties:
Polymorph energy (0 for the lowest one) in eV per atom: 0.000
Crystal system: monoclinic

=====

Entry 6:
# KZrTaSe3

Crystalline KZrTaSe3 at its relaxed geometry (PBE-GGA, OQMD via LeMat-Bulk).

The structure in POSCAR format:
```
KZrTaSe3
1.0
1.877 -8.015 0.000
1.877 8.015 0.000
0.000 0.000 10.091
K Zr Ta Se
2 2 2 6
Direct
0.246 0.754 0.750
0.754 0.246 0.250
0.000 0.000 0.000
0.000 0.000 0.500
0.475 0.525 0.250
0.525 0.475 0.750
0.087 0.913 0.250
0.377 0.623 0.055
0.377 0.623 0.445
0.623 0.377 0.555
0.623 0.377 0.945
0.913 0.087 0.750
```

Computed properties:
Polymorph energy (0 for the lowest one) in eV per atom: 0.013
Crystal system: orthorhombic

=====

Entry 7:
# KTbYSe3

Crystalline KTbYSe3 at its relaxed geometry (PBE-GGA, OQMD via LeMat-Bulk).

The structure in POSCAR format:
```
KTbYSe3
1.0
2.269 -7.668 0.000
2.269 7.668 0.000
0.000 0.000 11.160
K Tb Y Se
2 2 2 6
Direct
0.240 0.760 0.750
0.760 0.240 0.250
0.030 0.970 0.250
0.970 0.030 0.750
0.500 0.500 0.000
0.500 0.500 0.500
0.124 0.876 0.044
0.124 0.876 0.456
0.431 0.569 0.250
0.569 0.431 0.750
0.876 0.124 0.544
0.876 0.124 0.956
```

Computed properties:
Crystal system: orthorhombic

=====

Entry 8:
# KTbZnSe3

Crystalline KTbZnSe3 at its relaxed geometry (PBE-GGA, OQMD via LeMat-Bulk).

The structure in POSCAR format:
```
KTbZnSe3
1.0
9.242 -2.103 0.000
9.242 2.103 0.000
-1.885 0.000 8.519
K Tb Zn Se
2 2 2 6
Direct
0.140 0.140 0.069
0.860 0.860 0.931
0.170 0.170 0.573
0.830 0.830 0.427
0.471 0.471 0.267
0.529 0.529 0.733
0.000 0.000 0.500
0.327 0.327 0.644
0.336 0.336 0.206
0.500 0.500 0.000
0.664 0.664 0.794
0.673 0.673 0.356
```

Computed properties:
Crystal system: monoclinic

=====

Entry 9:
# KTbZnSe3

Crystalline KTbZnSe3 at its relaxed geometry (PBE-GGA, OQMD via LeMat-Bulk).

The structure in POSCAR format:
```
KTbZnSe3
1.0
8.714 0.000 0.000
0.000 4.145 0.000
-3.253 0.000 9.725
K Tb Zn Se
2 2 2 6
Direct
0.240 0.250 0.270
0.760 0.750 0.730
0.318 0.750 0.863
0.682 0.250 0.137
0.080 0.250 0.608
0.920 0.750 0.392
0.082 0.250 0.846
0.215 0.750 0.549
0.459 0.750 0.152
0.541 0.250 0.848
0.785 0.250 0.451
0.918 0.750 0.154
```

Computed properties:
Crystal system: monoclinic

=====

Entry 10:
# KTc2Se4

Crystalline KTc2Se4 at its relaxed geometry (PBE-GGA, OQMD via LeMat-Bulk).

The structure in POSCAR format:
```
KTc2Se4
1.0
0.000 5.716 5.716
5.716 0.000 5.716
5.716 5.716 0.000
K Tc Se
2 4 8
Direct
0.125 0.125 0.125
0.875 0.875 0.875
0.000 0.500 0.500
0.500 0.000 0.500
0.500 0.500 0.000
0.500 0.500 0.500
0.274 0.274 0.274
0.274 0.274 0.679
0.274 0.679 0.274
0.321 0.726 0.726
0.679 0.274 0.274
0.726 0.321 0.726
0.726 0.726 0.321
0.726 0.726 0.726
```

Computed properties:
Crystal system: cubic

=====

Entry 11:
# K2TcSe3

Crystalline K2TcSe3 at its relaxed geometry (PBE-GGA, OQMD via LeMat-Bulk).

The structure in POSCAR format:
```
K2TcSe3
1.0
6.954 0.000 0.000
2.947 6.884 0.000
3.123 1.332 8.047
K Tc Se
4 2 6
Direct
0.106 0.195 0.120
0.351 0.557 0.305
0.649 0.443 0.695
0.894 0.805 0.880
0.378 0.054 0.659
0.622 0.946 0.341
0.165 0.379 0.713
0.256 0.953 0.482
0.372 0.819 0.906
0.628 0.181 0.094
0.744 0.047 0.518
0.835 0.621 0.287
```

Computed properties:
Polymorph energy (0 for the lowest one) in eV per atom: 0.000
Crystal system: triclinic

=====

Entry 12:
# K2TcSe3

Crystalline K2TcSe3 at its relaxed geometry (PBE-GGA, OQMD via LeMat-Bulk).

The structure in POSCAR format:
```
K2TcSe3
1.0
5.948 -4.366 0.000
5.948 4.366 0.000
-0.812 0.000 6.959
K Tc Se
4 2 6
Direct
0.009 0.665 0.799
0.335 0.991 0.701
0.665 0.009 0.299
0.991 0.335 0.201
0.408 0.592 0.250
0.592 0.408 0.750
0.138 0.862 0.250
0.337 0.400 0.502
0.400 0.337 0.002
0.600 0.663 0.998
0.663 0.600 0.498
0.862 0.138 0.750
```

Computed properties:
Polymorph energy (0 for the lowest one) in eV per atom: 0.017
Crystal system: monoclinic

=====

| no. | total DFT energy (no corrections) (Ry/atom) | magnetic moment (μB/cell) |
| --- | --- | --- |
| 1 | -0.3375 | 0.010 |
| 2 | -0.3409 | 0.002 |
| 3 | -0.3492 | 0.002 |
| 4 | -0.3513 | 3.197 |
| 5 | -0.4679 | 0.002 |
| 6 | -0.4670 | 0.002 |
| 7 | -0.3894 | 0.380 |
| 8 | -0.3049 | 0.004 |
| 9 | -0.3154 | 0.005 |
| 10 | -0.3899 | 9.999 |
| 11 | -0.3342 | 3.462 |
| 12 | -0.3330 | 1.977 |